Record 1
Mn2NiBi3O9, optimized geometry, DFT PBE+U; symmetry = C2/c, No. 15; E_tot = -6.177 eV per atom
1.0
2.829 4.794 -0.020
-2.829 4.794 -0.020
0.000 -0.044 13.439
O Bi Mn Ni
18 6 4 2
direct
0.711 0.209 0.605 O
0.131 0.631 0.567 O
0.791 0.289 0.895 O
0.908 0.092 0.250 O
0.631 0.131 0.067 O
0.949 0.478 0.735 O
0.869 0.369 0.433 O
0.775 0.599 0.076 O
0.289 0.791 0.395 O
0.369 0.869 0.933 O
0.225 0.401 0.924 O
0.401 0.225 0.424 O
0.599 0.775 0.576 O
0.522 0.051 0.765 O
0.051 0.522 0.265 O
0.209 0.711 0.105 O
0.092 0.908 0.750 O
0.478 0.949 0.235 O
0.841 0.803 0.426 Bi
0.197 0.159 0.074 Bi
0.803 0.841 0.926 Bi
0.467 0.533 0.250 Bi
0.159 0.197 0.574 Bi
0.533 0.467 0.750 Bi
0.833 0.843 0.668 Mn
0.157 0.167 0.832 Mn
0.167 0.157 0.332 Mn
0.843 0.833 0.168 Mn
0.500 0.500 0.000 Ni
0.500 0.500 0.500 Ni



Record 2
MnNiBi2O6, optimized geometry, DFT PBE+U; symmetry = C2/c, No. 15; energy relative to the lowest polymorph listed for this composition = 0.07 eV per formula unit
1.0
5.520 0.005 -0.001
2.792 4.762 -0.001
2.579 1.479 9.233
O Mn Bi Ni
12 2 4 2
direct
0.302 0.380 0.388 O
0.620 0.698 0.112 O
0.718 0.103 0.581 O
0.282 0.897 0.419 O
0.115 0.191 0.160 O
0.885 0.809 0.840 O
0.380 0.302 0.888 O
0.809 0.885 0.340 O
0.191 0.115 0.660 O
0.698 0.620 0.612 O
0.103 0.718 0.081 O
0.897 0.282 0.919 O
0.000 0.500 0.000 Mn
0.500 0.000 0.500 Mn
0.907 0.358 0.377 Bi
0.642 0.093 0.123 Bi
0.358 0.907 0.877 Bi
0.093 0.642 0.623 Bi
0.767 0.233 0.750 Ni
0.233 0.767 0.250 Ni



Record 3
MnNiBi2O6, optimized geometry, DFT PBE+U; symmetry = P2_1/c, No. 14; energy relative to the lowest polymorph listed for this composition = 0.00 eV per formula unit
1.0
5.420 0.000 0.000
0.000 5.691 0.000
0.035 0.000 7.761
Mn O Bi Ni
2 12 4 2
direct
0.000 0.500 0.000 Mn
0.500 0.000 0.500 Mn
0.910 0.471 0.242 O
0.410 0.029 0.742 O
0.810 0.214 0.952 O
0.690 0.714 0.548 O
0.704 0.690 0.961 O
0.310 0.286 0.452 O
0.190 0.786 0.048 O
0.296 0.310 0.039 O
0.796 0.190 0.539 O
0.590 0.971 0.258 O
0.204 0.810 0.461 O
0.090 0.529 0.758 O
0.010 0.058 0.254 Bi
0.510 0.442 0.754 Bi
0.490 0.558 0.246 Bi
0.990 0.942 0.746 Bi
0.500 0.000 0.000 Ni
0.000 0.500 0.500 Ni